No. 1
A relaxed structure of Sr3AlIr. Source: Alexandria via LeMat-Bulk, functional GGA-PBEsol.

```
data_Sr3AlIr
_chemical_formula_sum 'Sr3 Al1 Ir1'
_symmetry_space_group_name_H-M 'P m -3 m'
_symmetry_Int_Tables_number 221
_symmetry_space_group_name_Hall '-P 4 2 3'
_cell_length_a 5.774
_cell_length_b 5.774
_cell_length_c 5.774
_cell_angle_alpha 90.00
_cell_angle_beta 90.00
_cell_angle_gamma 90.00
loop_
_atom_site_label
_atom_site_type_symbol
_atom_site_fract_x
_atom_site_fract_y
_atom_site_fract_z
Sr1 Sr 0.000 0.000 0.500
Al1 Al 0.000 0.000 0.000
Ir1 Ir 0.500 0.500 0.500
```

## Properties
Mass density: 4.16 Mg/m³
Final energy: -2.906 eV per atom
Formation energy from the elements: 0.98 eV per atom

No. 2
A relaxed structure of SrAl2Ir. Source: Alexandria via LeMat-Bulk, functional GGA-PBEsol.

```
data_SrAl2Ir
_chemical_formula_sum 'Sr3 Al6 Ir3'
_symmetry_space_group_name_H-M 'R -3 m'
_symmetry_Int_Tables_number 166
_symmetry_space_group_name_Hall '-R 3 2"'
_cell_length_a 4.2847
_cell_length_b 4.2847
_cell_length_c 16.6399
_cell_angle_alpha 90.00
_cell_angle_beta 90.00
_cell_angle_gamma 120.00
loop_
_atom_site_label
_atom_site_type_symbol
_atom_site_fract_x
_atom_site_fract_y
_atom_site_fract_z
Sr1 Sr 0.0000 0.0000 0.0000
Al1 Al 0.0000 0.0000 0.1962
Ir1 Ir 0.0000 0.0000 0.5000
```

## Properties
Mass density: 6.29 Mg/m³
Final energy: -5.533 eV per atom
Formation energy from the elements: -0.57 eV per atom

No. 3
A relaxed structure of SrAl2Ir. Source: Alexandria via LeMat-Bulk, functional GGA-PBEsol.

```
data_SrAl2Ir
_chemical_formula_sum 'Sr1 Al2 Ir1'
_symmetry_space_group_name_H-M 'P m m m'
_symmetry_Int_Tables_number 47
_cell_length_a 2.995
_cell_length_b 3.319
_cell_length_c 7.734
_cell_angle_alpha 90.00
_cell_angle_beta 90.00
_cell_angle_gamma 90.00
loop_
_symmetry_equiv_pos_as_xyz
'x,y,z'
'-x,-y,-z'
'-x,-y,z'
'x,y,-z'
'x,-y,-z'
'-x,y,z'
'-x,y,-z'
'x,-y,z'
loop_
_atom_site_label
_atom_site_type_symbol
_atom_site_fract_x
_atom_site_fract_y
_atom_site_fract_z
Sr1 Sr 0.000 0.000 0.000
Al1 Al 0.500 0.500 0.322
Ir1 Ir 0.000 0.000 0.500
```

## Properties
Mass density: 7.21 Mg/m³
Final energy: -5.354 eV per atom
Formation energy from the elements: -0.39 eV per atom

No. 4
A relaxed structure of SrAlIr2. Source: Alexandria via LeMat-Bulk, functional GGA-PBEsol.

```
data_SrAlIr2
_chemical_formula_sum 'Sr1 Al1 Ir2'
_symmetry_space_group_name_H-M 'P 1 m 1'
_symmetry_Int_Tables_number 6
_cell_length_a 2.880
_cell_length_b 4.343
_cell_length_c 6.258
_cell_angle_alpha 90.00
_cell_angle_beta 99.23
_cell_angle_gamma 90.00
loop_
_symmetry_equiv_pos_as_xyz
'x,y,z'
'x,-y,z'
loop_
_atom_site_label
_atom_site_type_symbol
_atom_site_fract_x
_atom_site_fract_y
_atom_site_fract_z
Sr1 Sr 0.000 0.000 0.000
Al1 Al 0.600 0.500 0.316
Ir1 Ir 0.206 0.500 0.644
Ir2 Ir 0.644 0.000 0.544
```

## Properties
Mass density: 10.72 Mg/m³
Final energy: -6.411 eV per atom
Formation energy from the elements: -0.02 eV per atom

No. 5
A relaxed structure of SrAl2Ir. Source: Alexandria via LeMat-Bulk, functional GGA-PBEsol.

```
data_SrAl2Ir
_chemical_formula_sum 'Sr2 Al4 Ir2'
_symmetry_space_group_name_H-M 'I m m 2'
_symmetry_Int_Tables_number 44
_cell_length_a 4.503
_cell_length_b 5.534
_cell_length_c 7.063
_cell_angle_alpha 90.00
_cell_angle_beta 90.00
_cell_angle_gamma 90.00
loop_
_symmetry_equiv_pos_as_xyz
'x,y,z'
'-x,-y,z'
'-x,y,z'
'x,-y,z'
'x+1/2,y+1/2,z+1/2'
'-x+1/2,-y+1/2,z+1/2'
'-x+1/2,y+1/2,z+1/2'
'x+1/2,-y+1/2,z+1/2'
loop_
_atom_site_label
_atom_site_type_symbol
_atom_site_fract_x
_atom_site_fract_y
_atom_site_fract_z
Sr1 Sr 0.000 0.000 0.000
Al1 Al 0.000 0.000 0.535
Al2 Al 0.000 0.500 0.814
Ir1 Ir 0.000 0.500 0.164
```

## Properties
Mass density: 6.30 Mg/m³
Final energy: -4.976 eV per atom
Formation energy from the elements: -0.01 eV per atom

No. 6
A relaxed structure of SrAl2Ir. Source: Alexandria via LeMat-Bulk, functional GGA-PBEsol.

```
data_SrAl2Ir
_chemical_formula_sum 'Sr3 Al6 Ir3'
_symmetry_space_group_name_H-M 'R 3 m'
_symmetry_Int_Tables_number 160
_symmetry_space_group_name_Hall 'R 3 -2"'
_cell_length_a 4.3264
_cell_length_b 4.3264
_cell_length_c 16.8184
_cell_angle_alpha 90.00
_cell_angle_beta 90.00
_cell_angle_gamma 120.00
loop_
_atom_site_label
_atom_site_type_symbol
_atom_site_fract_x
_atom_site_fract_y
_atom_site_fract_z
Sr1 Sr 0.0000 0.0000 0.0000
Al1 Al 0.0000 0.0000 0.1898
Al2 Al 0.0000 0.0000 0.4715
Ir1 Ir 0.0000 0.0000 0.8167
```

## Properties
Mass density: 6.10 Mg/m³
Final energy: -5.519 eV per atom
Formation energy from the elements: -0.56 eV per atom

No. 7
A relaxed structure of Ta2AlIr. Source: Alexandria via LeMat-Bulk, functional GGA-PBEsol.

```
data_Ta2AlIr
_chemical_formula_sum 'Ta2 Al1 Ir1'
_symmetry_space_group_name_H-M 'P m m 2'
_symmetry_Int_Tables_number 25
_cell_length_a 2.951
_cell_length_b 3.624
_cell_length_c 5.974
_cell_angle_alpha 90.00
_cell_angle_beta 90.00
_cell_angle_gamma 90.00
loop_
_symmetry_equiv_pos_as_xyz
'x,y,z'
'-x,-y,z'
'-x,y,z'
'x,-y,z'
loop_
_atom_site_label
_atom_site_type_symbol
_atom_site_fract_x
_atom_site_fract_y
_atom_site_fract_z
Ta1 Ta 0.000 0.000 0.000
Ta2 Ta 0.500 0.500 0.266
Al1 Al 0.000 0.000 0.525
Ir1 Ir 0.500 0.500 0.740
```

## Properties
Mass density: 15.10 Mg/m³
Final energy: -10.100 eV per atom
Formation energy from the elements: -0.35 eV per atom

No. 8
A relaxed structure of TaAlIr2. Source: Alexandria via LeMat-Bulk, functional GGA-PBEsol.

```
data_TaAlIr2
_chemical_formula_sum 'Ta1 Al1 Ir2'
_symmetry_space_group_name_H-M 'P m m 2'
_symmetry_Int_Tables_number 25
_cell_length_a 2.834
_cell_length_b 4.005
_cell_length_c 5.340
_cell_angle_alpha 90.00
_cell_angle_beta 90.00
_cell_angle_gamma 90.00
loop_
_symmetry_equiv_pos_as_xyz
'x,y,z'
'-x,-y,z'
'-x,y,z'
'x,-y,z'
loop_
_atom_site_label
_atom_site_type_symbol
_atom_site_fract_x
_atom_site_fract_y
_atom_site_fract_z
Ta1 Ta 0.000 0.000 0.000
Al1 Al 0.500 0.500 0.309
Ir1 Ir 0.000 0.000 0.471
Ir2 Ir 0.500 0.500 0.801
```

## Properties
Mass density: 16.23 Mg/m³
Final energy: -9.622 eV per atom
Formation energy from the elements: -0.55 eV per atom

Number 1: magnetization 0.28 μB/f.u.. Number 2: magnetization 0.00 μB/f.u.. Number 3: magnetization 0.00 μB/f.u.. Number 4: magnetization 0.00 μB/f.u.. Number 5: magnetization 0.00 μB/f.u.. Number 6: magnetization 0.00 μB/f.u.. Number 7: magnetization 0.00 μB/f.u.. Number 8: magnetization 0.00 μB/f.u..